Computed, not measured: a relaxed Zr4MnZn crystal at the PBE-GGA level of DFT.

Results
Space-group type: F-43m
Energy of formation, eV/atom: 0.5070
ΔE to the lowest computed polymorph, kJ/mol of atoms: 59.2
DFT total energy, eV per cell: -41.59

Structure (POSCAR):
```
Zr4MnZn
1.0
2.637 -1.068 4.938
-1.419 -4.598 3.052
3.623 -4.380 0.406
Zr Mn Zn
4 1 1
Cartesian
3.130 -4.306 5.609
3.620 -5.952 3.357
1.114 -6.060 4.672
1.819 -3.775 3.155
3.631 -7.535 6.297
0.000 0.000 0.000
```